# 1
Computed, not measured: an optimized crystal structure of CdBr2N at the PBE level of DFT.

Computed properties:
As for the crystal system: monoclinic. As for the total DFT energy (no corrections): -2.50 eV/atom. For the total magnetization, the calculation gives 0.742 μB/atom.

Cell lengths 4.0702, 7.0600, 9.0848 Å; angles 105.82, 90.02, 90.00 degrees
Closest atoms and distances in Å follow each position.
Fractional coordinates of all 8 atoms:
Cd: 0.2779 0.8430 0.5514  6 Br 2.83
Br: 0.2778 0.5725 0.7313  3 Cd 2.83
Br: 0.7778 0.6136 0.3720  3 Cd 2.83
Br: 0.7780 0.0722 0.7312  3 Cd 2.83
Cd: 0.7777 0.3431 0.5519  6 Br 2.83
Br: 0.2777 0.1139 0.3721  3 Cd 2.83
N: 0.7773 0.8429 0.0521  6 Br 3.64-3.70, 2 N 4.07
N: 0.2772 0.3429 0.0515  6 Br 3.64-3.70, 2 N 4.07


# 2
Computed, not measured: an optimized crystal structure of BeReHg2 at the PBE level of DFT.

Computed properties:
Its energy relative to the elements is 0.540 eV per atom. As for the crystal system: monoclinic. For the total magnetization, the calculation gives 0.000 μB/atom.

Cell lengths 3.3791, 2.9553, 7.0330 Å; angles 77.94, 90.00, 90.00 degrees
Closest atoms and distances in Å follow each position.
Fractional coordinates of all 4 atoms:
Re: 0.0000 0.5214 0.5833  4 Be 2.32
Hg: 0.5000 0.1674 0.2871  1 Be 2.63
Be: 0.5000 0.9789 0.6691  4 Re 2.32
Hg: 0.0000 0.8323 0.9604  2 Be 2.62


# 3
Computed, not measured: an optimized crystal structure of KAuN2 at the PBE level of DFT.

Computed properties:
As for the crystal system: tetragonal. As for the total DFT energy (no corrections): -4.08 eV/atom. For the total magnetization, the calculation gives 0.000 μB/atom.

Cell lengths 6.3725, 6.3725, 5.6728 Å; angles 55.83, 55.83, 90.00 degrees
Closest atoms and distances in Å follow each position.
Fractional coordinates of all 8 atoms:
N: 0.3750 0.2686 0.7500  2 Au 2.03
K: 0.5000 0.5000 0.0000  8 N 2.90-3.17
N: 0.7314 0.1250 0.2500  2 Au 2.03
K: 0.2500 0.7500 0.5000  8 N 2.90-3.17
N: 0.0186 0.6250 0.2500  2 Au 2.03
N: 0.8750 0.9814 0.7500  2 Au 2.03
Au: 0.0000 0.0000 0.0000  4 N 2.03
Au: 0.7500 0.2500 0.5000  4 N 2.03


# 4
Computed, not measured: an optimized crystal structure of Zr5Au at the PBE level of DFT.

Computed properties:
Its energy relative to the elements is -0.156 eV per atom. As for the crystal system: monoclinic. For the total magnetization, the calculation gives 0.000 μB/atom.

Cell lengths 3.2140, 5.9036, 7.6135 Å; angles 74.40, 90.00, 74.20 degrees
Closest atoms and distances in Å follow each position.
Fractional coordinates of all 6 atoms:
Zr: 0.3071 0.3858 0.0553  3 Au 2.94-3.28, 7 Zr 3.04-3.23
Zr: 0.6549 0.6902 0.3044  2 Au 2.92, 7 Zr 3.14-3.24
Zr: 0.3150 0.3700 0.6600  10 Zr 3.04-3.24, 2 Au 3.32
Au: 0.0106 0.9788 0.0001  6 Zr 2.92-2.94, 2 Au 3.21
Zr: 0.9420 0.1160 0.4022  11 Zr 3.11-3.21, 1 Au 3.36
Zr: 0.6037 0.7926 0.7446  2 Au 2.94, 9 Zr 3.10-3.23


# 5
Computed, not measured: an optimized crystal structure of LaCeTcI at the PBE level of DFT.

Computed properties:
As for the crystal system: triclinic. As for the total DFT energy (no corrections): -6.21 eV/atom. For the total magnetization, the calculation gives 0.000 μB/atom.

Cell lengths 4.0602, 4.2074, 8.4591 Å; angles 89.19, 103.91, 118.71 degrees
Closest atoms and distances in Å follow each position.
Fractional coordinates of all 4 atoms:
Tc: 0.2944 0.4922 0.8996  1 Ce 2.31
La: 0.5011 0.1449 0.6699  3 Tc 2.94-3.23
Ce: 0.1082 0.9896 0.0417  1 Tc 2.31
I: 0.9741 0.4040 0.3584  3 La 3.49-3.51, 3 Ce 3.50-3.57


# 6
Computed, not measured: an optimized crystal structure of AlRuI2Br at the PBE level of DFT.

Computed properties:
As for the crystal system: tetragonal. As for the total DFT energy (no corrections): -3.27 eV/atom. For the total magnetization, the calculation gives 0.223 μB/atom.

Cell lengths 5.5269, 4.9899, 5.5269 Å; angles 90.00, 90.00, 90.00 degrees
Closest atoms and distances in Å follow each position.
Fractional coordinates of all 5 atoms:
I: 0.5000 0.0000 0.0000  2 Ru 2.76
Br: 0.0000 0.5000 0.0000  2 Ru 2.49
Al: 0.5000 0.5000 0.5000  8 I 3.72, 4 Br 3.91
Ru: 0.0000 0.0000 0.0000  2 Br 2.49, 4 I 2.76
I: 0.0000 0.0000 0.5000  2 Ru 2.76


# 7
Computed, not measured: an optimized crystal structure of LaInCuPd at the PBE level of DFT.

Computed properties:
Its energy relative to the elements is -0.513 eV per atom. As for the crystal system: monoclinic. For the total magnetization, the calculation gives 0.000 μB/atom.

Cell lengths 4.6620, 4.6822, 5.4055 Å; angles 115.79, 90.00, 119.86 degrees
Closest atoms and distances in Å follow each position.
Fractional coordinates of all 4 atoms:
In: 0.1213 0.2427 0.0062  3 Cu 2.75, 3 Pd 2.80
La: 0.6165 0.2329 0.4920  4 Cu 2.93-3.23, 4 Pd 3.00-3.19
Cu: 0.8268 0.6536 0.1196  3 In 2.75, 1 La 2.93, 3 Pd 2.97-3.00
Pd: 0.4017 0.8034 0.8496  3 In 2.80, 3 Cu 2.97-3.00, 1 La 3.00


# 8
Computed, not measured: an optimized crystal structure of TmPa4P5 at the PBE level of DFT.

Computed properties:
Its energy relative to the elements is -1.375 eV per atom. As for the crystal system: tetragonal. For the total magnetization, the calculation gives 0.000 μB/atom.

Cell lengths 5.6016, 6.8607, 6.8607 Å; angles 80.41, 65.91, 65.91 degrees
Closest atoms and distances in Å follow each position.
Fractional coordinates of all 10 atoms:
P: 0.1007 0.6021 0.1986  1 Tm 2.79, 5 Pa 2.80-2.82
P: 0.5011 0.0000 0.0000  4 Pa 2.80, 2 Tm 2.80
P: 0.7028 0.1986 0.3979  1 Tm 2.79, 5 Pa 2.80-2.82
Tm: 0.0011 0.0000 0.0000  6 P 2.79-2.80
Pa: 0.6013 0.6001 0.1993  6 P 2.80-2.82
Pa: 0.2014 0.1993 0.3999  6 P 2.80-2.82
P: 0.9014 0.3979 0.8014  1 Tm 2.79, 5 Pa 2.80-2.82
Pa: 0.4007 0.3999 0.8007  6 P 2.80-2.82
P: 0.2992 0.8014 0.6021  1 Tm 2.79, 5 Pa 2.80-2.82
Pa: 0.8006 0.8007 0.6001  6 P 2.80-2.82


# 9
Computed, not measured: an optimized crystal structure of HfMg6Si at the PBE level of DFT.

Computed properties:
As for the crystal system: orthorhombic. As for the total DFT energy (no corrections): -3.06 eV/atom. For the total magnetization, the calculation gives 0.000 μB/atom.

Cell lengths 6.3414, 6.3414, 4.9938 Å; angles 90.00, 90.00, 124.60 degrees
Closest atoms and distances in Å follow each position.
Fractional coordinates of all 8 atoms:
Mg: 0.3252 0.1749 0.5000  8 Mg 2.95-3.14, 2 Si 3.10-3.24, 2 Hf 3.14-3.20
Mg: 0.6821 0.3179 0.0000  10 Mg 2.95-3.26, 2 Si 3.01
Hf: 0.3223 0.6777 0.5000  2 Si 2.95, 10 Mg 3.04-3.20
Mg: 0.6686 0.8237 0.0000  7 Mg 2.90-3.21, 2 Si 3.08, 2 Hf 3.10
Si: 0.8325 0.1675 0.5000  2 Hf 2.95, 10 Mg 3.01-3.24
Mg: 0.8251 0.6748 0.5000  8 Mg 2.95-3.14, 2 Si 3.10-3.24, 2 Hf 3.14-3.20
Mg: 0.1678 0.8322 0.0000  10 Mg 2.95-3.21, 2 Hf 3.04
Mg: 0.1763 0.3314 0.0000  7 Mg 2.90-3.21, 2 Si 3.08, 2 Hf 3.10


# 10
Computed, not measured: an optimized crystal structure of CsMnI3 at the PBE level of DFT.

Computed properties:
As for the crystal system: hexagonal. As for the total DFT energy (no corrections): -3.83 eV/atom. For the total magnetization, the calculation gives 1.000 μB/atom.

Cell lengths 8.3622, 8.3622, 7.0309 Å; angles 90.00, 90.00, 120.00 degrees
Closest atoms and distances in Å follow each position.
Fractional coordinates of all 10 atoms:
I: 0.3211 0.1606 0.7500  2 Mn 2.91
Mn: 0.0000 0.0000 0.0000  6 I 2.91
Mn: 0.0000 0.0000 0.5000  6 I 2.91
I: 0.6789 0.8394 0.2500  2 Mn 2.91
I: 0.8394 0.6789 0.7500  2 Mn 2.91
Cs: 0.3333 0.6667 0.7500  12 I 4.18-4.32
I: 0.1606 0.3211 0.2500  2 Mn 2.91
I: 0.8394 0.1606 0.7500  2 Mn 2.91
I: 0.1606 0.8394 0.2500  2 Mn 2.91
Cs: 0.6667 0.3333 0.2500  12 I 4.18-4.32


# 11
Computed, not measured: an optimized crystal structure of Cs2CdSnBr6 at the PBE level of DFT.

Computed properties:
As for the crystal system: cubic. As for the total DFT energy (no corrections): -2.89 eV/atom. For the total magnetization, the calculation gives 0.000 μB/atom.

Cell lengths 8.1318, 8.1318, 8.1346 Å; angles 60.01, 60.01, 90.00 degrees
Closest atoms and distances in Å follow each position.
Fractional coordinates of all 10 atoms:
Br: 0.7442 0.7442 0.5116  1 Cd 2.81, 1 Sn 2.94
Br: 0.2559 0.2559 0.0000  1 Cd 2.81, 1 Sn 2.94
Cd: 0.5000 0.5000 0.0000  6 Br 2.81
Br: 0.2559 0.7441 0.0000  1 Cd 2.81, 1 Sn 2.94
Cs: 0.7500 0.2500 0.5000  12 Br 4.07
Br: 0.7441 0.7441 0.0000  1 Cd 2.81, 1 Sn 2.94
Sn: 0.0000 0.0000 0.0000  6 Br 2.94
Cs: 0.2500 0.7500 0.5000  12 Br 4.07
Br: 0.2558 0.2558 0.4884  1 Cd 2.81, 1 Sn 2.94
Br: 0.7441 0.2559 0.0000  1 Cd 2.81, 1 Sn 2.94


# 12
Computed, not measured: an optimized crystal structure of Pm2Er4Tl3H2 at the PBE level of DFT.

Computed properties:
As for the crystal system: tetragonal. As for the total DFT energy (no corrections): -4.08 eV/atom. For the total magnetization, the calculation gives 0.000 μB/atom.

Cell lengths 4.7643, 4.7643, 12.6858 Å; angles 100.82, 100.82, 90.00 degrees
Closest atoms and distances in Å follow each position.
Fractional coordinates of all 11 atoms:
Er: 0.5824 0.0824 0.1648  2 H 2.41
Tl: 0.8290 0.8290 0.6580  4 Er 3.22, 5 Pm 3.25-3.42
H: 0.5976 0.5976 0.1953  1 Pm 2.41, 4 Er 2.41
Er: 0.0824 0.5824 0.1648  2 H 2.41
Er: 0.4176 0.9176 0.8352  2 H 2.41
Pm: 0.3038 0.3038 0.6076  1 H 2.41
Er: 0.9176 0.4176 0.8352  2 H 2.41
Tl: 0.1710 0.1710 0.3420  4 Er 3.22, 5 Pm 3.25-3.42
Pm: 0.6962 0.6962 0.3924  1 H 2.41
Tl: 0.0000 0.0000 0.0000  8 Er 3.12
H: 0.4024 0.4024 0.8047  1 Pm 2.41, 4 Er 2.41